# SiRu2

A geometry-optimized SiRu2 structure (PBE, Alexandria).

```
data_SiRu2
_chemical_formula_sum 'Si1 Ru2'
_cell_length_a 3.9992
_cell_length_b 3.9992
_cell_length_c 2.8245
_cell_angle_alpha 90.00
_cell_angle_beta 90.00
_cell_angle_gamma 90.00
_space_group_name_H-M_alt 'P 4/m m m'
_space_group_IT_number 123
_space_group_name_Hall '-P 4 2'
loop_
_atom_site_label
_atom_site_fract_x
_atom_site_fract_y
_atom_site_fract_z
Si1 0.0000 0.0000 0.0000
Ru1 0.0000 0.5000 0.5000
```

Results
Crystal system = tetragonal
Raw total energy = -7.86 eV/atom
Energy relative to the elements, uncorrected = 12.7 kJ/mol of atoms
Total magnetic moment = 0.0 μB/f.u.


# MnTe2Pt

A geometry-optimized MnTe2Pt structure (PBE, Alexandria).

```
data_MnTe2Pt
_chemical_formula_sum 'Mn1 Te2 Pt1'
_cell_length_a 3.9907
_cell_length_b 4.0100
_cell_length_c 5.6262
_cell_angle_alpha 90.00
_cell_angle_beta 90.06
_cell_angle_gamma 90.00
_space_group_name_H-M_alt 'P 1 2/m 1'
_space_group_IT_number 10
_space_group_name_Hall '-P 2y'
loop_
_atom_site_label
_atom_site_fract_x
_atom_site_fract_y
_atom_site_fract_z
Mn1 0.0000 0.0000 0.0000
Te1 0.0000 0.0000 0.5000
Te2 0.5000 0.5000 0.0000
Pt1 0.5000 0.5000 0.5000
```

Results
Crystal system = monoclinic
Raw total energy = -5.48 eV/atom
Energy relative to the elements, uncorrected = -10.7 kJ/mol of atoms
Total magnetic moment = 4.3 μB/f.u.
E above lowest polymorph = 127.4 meV/atom